CaY2Co: relaxed, PBE.

Values from the calculation:
Offset from the most stable computed form: 585 meV per atom
D(E_F): 1.35 states/eV/atom
ΔH_f (0 K): 0.489 eV per atom
Calculated volume: 26.56 A^3/atom

Unit cell a=6.1892 b=6.1892 c=3.4203 alpha=102.29 beta=102.29 gamma=117.30
Fractional positions:
Ca  0.0000  0.0000  0.0000
Y  0.0000  0.5000  0.5000
Y  0.5000  0.0000  0.5000
Co  0.5000  0.5000  0.0000